VASP calculation (PBE) on TiGaNO2 after structural relaxation.

Output
E_form (uncorrected) = -14.1 kcal/mol of atoms
M_tot = 0.056 μB/cell
calculated volume = 10.73 Å³ per atom

Lattice parameters (Å, degrees): 3.699 3.699 3.919 90.00 90.00 90.00
Space group P4/mmm (No. 123)
One atom of each set of equivalent atoms:
1 Ti 0.000 0.000 0.000 x1
2 Ga 0.500 0.500 0.500 x1
3 N 0.500 0.500 0.000 x1
4 O 0.000 0.500 0.500 x2